A relaxed structure of Cs2KHI, computed with PBE.

a = 7.5484 Å, b = 7.5484 Å, c = 6.6694 Å
α = 90.00°, β = 90.00°, γ = 90.00°
Fractional positions:
Cs  0.0000  0.5000  0.0000
Cs  0.5000  0.0000  0.0000
K  0.0000  0.0000  0.5000
H  0.5000  0.5000  0.5000
I  0.0000  0.0000  0.0000

Summary:
For the excess energy over the best structure of this formula in the dataset, the calculation gives 265.9 meV per atom. The value obtained for the mass density is 1.891 g/cm3. The calculation puts the total moment at 0.00 μB/cell.